(1)
VASP calculation (PBE) on a relaxed structure of NpAg2Hg2O6.

Properties
- E_form (uncorrected) (kJ/mol of formula units) = -1050
- uncorrected energy (eV per atom) = -5.443
- space group = C2/m

Structure (POSCAR):
```
NpAg2Hg2O6
1.0
3.5314 -4.6553 0.0000
3.5314 4.6553 0.0000
-3.2872 0.0000 5.3755
Np Ag Hg O
1 2 2 6
direct
0.0000 0.0000 0.0000
0.3537 0.6463 0.0000
0.6463 0.3537 0.0000
0.1939 0.8061 0.5000
0.8061 0.1939 0.5000
0.0627 0.3700 0.2364
0.1690 0.1690 0.7855
0.3700 0.0627 0.2364
0.6300 0.9373 0.7636
0.8310 0.8310 0.2145
0.9373 0.6300 0.7636
```

=====

(2)
VASP calculation (PBE) on a relaxed structure of CaMn3Sb.

Properties
- E_form (uncorrected) (kJ/mol of formula units) = 327
- energy above the most stable polymorph in this dataset (meV/atom) = 0.0
- uncorrected energy (eV per atom) = -6.049
- space group = Pm-3m

Structure (POSCAR):
```
CaMn3Sb
1.0
5.0174 0.0000 0.0000
0.0000 5.0174 0.0000
0.0000 0.0000 5.0174
Ca Mn Sb
1 3 1
direct
0.0000 0.0000 0.0000
0.0000 0.5000 0.5000
0.5000 0.0000 0.5000
0.5000 0.5000 0.0000
0.5000 0.5000 0.5000
```

=====

(3)
VASP calculation (PBE) on a relaxed structure of SrCa3Rh.

Properties
- energy above the most stable polymorph in this dataset (meV/atom) = 293.3
- energy relative to the elements (eV/atom) = 0.07
- uncorrected energy (eV per atom) = -2.942
- space group = Amm2

Structure (POSCAR):
```
SrCa3Rh
1.0
3.7309 0.0000 0.0000
0.0000 3.6080 6.8399
0.0000 -3.6080 6.8399
Sr Ca Rh
1 3 1
direct
0.0000 0.0000 0.0000
0.0000 0.4296 0.4296
0.5000 0.4842 0.9632
0.5000 0.9632 0.4842
0.5000 0.5766 0.5766
```